(1)
DFT (GGA-PBE) results for an optimized crystal structure of NiAs2Au.

Calculated values
As for the energy of formation from the pure elements: 0.04 eV/atom. As for the energy above the most stable polymorph in this dataset: 0.9 kJ/mol of atoms.

a = 6.053 Å, b = 6.053 Å, c = 6.053 Å
α = 151.27°, β = 137.81°, γ = 51.84°
Atoms (fractional coordinates):
1 As 0.077 0.077 0.000
2 As 0.423 0.423 0.000
3 Ni 0.250 0.750 0.500
4 Au 0.750 0.250 0.500

(2)
DFT (GGA-PBE) results for an optimized crystal structure of NiAsAu2.

Calculated values
As for the energy of formation from the pure elements: 0.08 eV/atom.

a = 5.968 Å, b = 5.968 Å, c = 5.968 Å
α = 151.57°, β = 136.51°, γ = 52.78°
Atoms (fractional coordinates):
1 Ni 0.486 0.486 0.000
2 Au 0.696 0.196 0.500
3 Au 0.003 0.003 0.000
4 As 0.315 0.815 0.500

(3)
DFT (GGA-PBE) results for an optimized crystal structure of NiAs2Au.

Calculated values
As for the energy of formation from the pure elements: 0.21 eV/atom. As for the energy above the most stable polymorph in this dataset: 17.4 kJ/mol of atoms.

a = 4.288 Å, b = 4.289 Å, c = 3.608 Å
α = 90.00°, β = 90.00°, γ = 90.00°
Atoms (fractional coordinates):
1 As 0.500 0.500 0.000
2 As 0.000 0.000 0.000
3 Au 0.500 0.000 0.500
4 Ni 0.000 0.500 0.500

(4)
DFT (GGA-PBE) results for an optimized crystal structure of NiAs2Au.

Calculated values
As for the energy of formation from the pure elements: 0.22 eV/atom. As for the energy above the most stable polymorph in this dataset: 18.1 kJ/mol of atoms.

a = 4.755 Å, b = 4.755 Å, c = 4.755 Å
α = 127.07°, β = 127.07°, γ = 78.13°
Atoms (fractional coordinates):
1 As 0.000 0.000 0.000
2 As 0.500 0.500 0.000
3 Ni 0.750 0.250 0.500
4 Au 0.250 0.750 0.500

(5)
DFT (GGA-PBE) results for an optimized crystal structure of Np2Ni4As3Au.

Calculated values
As for the energy of formation from the pure elements: -0.37 eV/atom.

a = 4.027 Å, b = 4.027 Å, c = 10.195 Å
α = 90.00°, β = 90.00°, γ = 90.00°
Atoms (fractional coordinates):
1 Ni 0.000 0.500 0.350
2 Ni 0.000 0.000 0.000
3 Ni 0.500 0.000 0.650
4 Ni 0.500 0.500 0.000
5 Au 0.500 0.500 0.500
6 As 0.000 0.000 0.500
7 As 0.000 0.500 0.127
8 As 0.500 0.000 0.873
9 Np 0.500 0.000 0.245
10 Np 0.000 0.500 0.755

(6)
DFT (GGA-PBE) results for an optimized crystal structure of NiAs2PbAu.

Calculated values
As for the energy of formation from the pure elements: 0.20 eV/atom.

a = 4.630 Å, b = 5.049 Å, c = 4.630 Å
α = 90.00°, β = 90.00°, γ = 90.00°
Atoms (fractional coordinates):
1 Ni 0.000 0.000 0.000
2 Pb 0.500 0.500 0.500
3 As 0.500 0.000 0.000
4 As 0.000 0.000 0.500
5 Au 0.000 0.500 0.000

(7)
DFT (GGA-PBE) results for an optimized crystal structure of Pm2Ni4As3Au.

Calculated values
As for the energy of formation from the pure elements: -0.72 eV/atom.

a = 4.187 Å, b = 4.187 Å, c = 9.739 Å
α = 90.00°, β = 90.00°, γ = 90.00°
Atoms (fractional coordinates):
1 Pm 0.000 0.500 0.759
2 Pm 0.500 0.000 0.241
3 As 0.500 0.000 0.873
4 As 0.000 0.000 0.500
5 As 0.000 0.500 0.127
6 Ni 0.000 0.500 0.364
7 Ni 0.500 0.000 0.636
8 Ni 0.000 0.000 0.000
9 Ni 0.500 0.500 0.000
10 Au 0.500 0.500 0.500

(8)
DFT (GGA-PBE) results for an optimized crystal structure of Pm2Ni3As4Au.

Calculated values
As for the energy of formation from the pure elements: -0.73 eV/atom.

a = 4.289 Å, b = 4.289 Å, c = 9.702 Å
α = 90.00°, β = 90.00°, γ = 90.00°
Atoms (fractional coordinates):
1 Pm 0.500 0.000 0.242
2 Pm 0.000 0.500 0.758
3 As 0.500 0.500 0.000
4 As 0.000 0.000 0.000
5 As 0.000 0.500 0.353
6 As 0.500 0.000 0.647
7 Ni 0.500 0.000 0.888
8 Ni 0.000 0.500 0.112
9 Ni 0.000 0.000 0.500
10 Au 0.500 0.500 0.500

(9)
DFT (GGA-PBE) results for an optimized crystal structure of Pr2Ni3As4Au.

Calculated values
As for the energy of formation from the pure elements: -0.74 eV/atom.

a = 4.318 Å, b = 4.318 Å, c = 9.740 Å
α = 90.00°, β = 90.00°, γ = 90.00°
Atoms (fractional coordinates):
1 As 0.500 0.500 0.000
2 As 0.500 0.000 0.646
3 As 0.000 0.000 0.000
4 As 0.000 0.500 0.354
5 Pr 0.500 0.000 0.243
6 Pr 0.000 0.500 0.757
7 Ni 0.000 0.000 0.500
8 Ni 0.000 0.500 0.111
9 Ni 0.500 0.000 0.889
10 Au 0.500 0.500 0.500

(10)
DFT (GGA-PBE) results for an optimized crystal structure of Pr2Ni4As3Au.

Calculated values
As for the energy of formation from the pure elements: -0.71 eV/atom.

a = 4.235 Å, b = 4.235 Å, c = 9.708 Å
α = 90.00°, β = 90.00°, γ = 90.00°
Atoms (fractional coordinates):
1 Pr 0.500 0.000 0.242
2 Pr 0.000 0.500 0.758
3 As 0.500 0.000 0.874
4 As 0.000 0.500 0.126
5 As 0.000 0.000 0.500
6 Au 0.500 0.500 0.500
7 Ni 0.000 0.000 0.000
8 Ni 0.500 0.000 0.634
9 Ni 0.500 0.500 0.000
10 Ni 0.000 0.500 0.366

(11)
DFT (GGA-PBE) results for an optimized crystal structure of NiAs2PtAu.

Calculated values
As for the energy of formation from the pure elements: 1.16 eV/atom.

a = 4.850 Å, b = 4.686 Å, c = 4.850 Å
α = 90.00°, β = 90.00°, γ = 90.00°
Atoms (fractional coordinates):
1 Au 0.000 0.000 0.000
2 Ni 0.000 0.500 0.000
3 As 0.500 0.000 0.000
4 As 0.000 0.000 0.500
5 Pt 0.500 0.500 0.500

(12)
DFT (GGA-PBE) results for an optimized crystal structure of NiAs2AuS.

Calculated values
The uncorrected formation energy is 1.1386 eV/atom.

a = 4.924 Å, b = 4.811 Å, c = 4.924 Å
α = 90.00°, β = 90.00°, γ = 90.00°
Atoms (fractional coordinates):
1 As 0.000 0.000 0.500
2 As 0.500 0.000 0.000
3 Ni 0.000 0.500 0.000
4 Au 0.000 0.000 0.000
5 S 0.500 0.500 0.500

no.,Fermi-level density of states (states/eV/atom)
1,0.40
2,0.54
3,0.24
4,0.34
5,2.48
6,0.91
7,0.66
8,0.47
9,0.47
10,0.66
11,1.28
12,1.05